MnCuPdAu2: single point on PBEsol structure, meta-GGA SCAN.

As for the size of the total moment: 4.9 μB/f.u. The energy of formation from the pure elements is 2.4 eV per formula unit. The calculation puts the mass density at 10.61 g/cm³.

The space group is P4/mmm (No. 123) and the conventional cell measures 4.6167, 4.6167 and 4.5432 Å, with angles of 90.00, 90.00 and 90.00 degrees. The inequivalent atoms are Mn at (0.0000, 0.0000, 0.0000), Cu at (0.5000, 0.5000, 0.5000), Pd at (0.5000, 0.5000, 0.0000) and Au at (0.0000, 0.5000, 0.5000).


Sc5Co: single point on PBEsol structure, meta-GGA SCAN.

As for the size of the total moment: 0.0 μB/f.u. The energy of formation from the pure elements is -0.4 eV per formula unit. The calculation puts the mass density at 3.83 g/cm³.

The space group is C2/m (No. 12) and the conventional cell measures 10.8807, 3.2420 and 7.4986 Å, with angles of 90.00, 111.56 and 90.00 degrees. The inequivalent atoms are Sc at (0.0000, 0.0000, 0.0000), Sc at (0.1319, 0.5000, 0.3716), Sc at (0.1665, 0.5000, 0.7893) and Co at (0.0000, 0.0000, 0.5000).


Cs3RbSe: single point on PBEsol structure, meta-GGA SCAN.

As for the size of the total moment: 0.0 μB/f.u. The calculation puts the formation energy (no corrections) at -0.65 eV per atom. The calculation puts the mass density at 2.65 g/cm³.

The space group is Pm-3m (No. 221) and the conventional cell measures 7.0647, 7.0647 and 7.0647 Å, with angles of 90.00, 90.00 and 90.00 degrees. The inequivalent atoms are Cs at (0.0000, 0.0000, 0.5000), Rb at (0.5000, 0.5000, 0.5000) and Se at (0.0000, 0.0000, 0.0000).


Sb2Te2Se: single point on PBEsol structure, meta-GGA SCAN.

As for the size of the total moment: 0.0 μB/f.u. The calculation puts the formation energy (no corrections) at 0.13 eV per atom. The calculation puts the mass density at 6.44 g/cm³.

The space group is I4/mmm (No. 139) and the conventional cell measures 5.8626, 5.8626 and 8.6668 Å, with angles of 90.00, 90.00 and 90.00 degrees. The inequivalent atoms are Sb at (0.0000, 0.0000, 0.1749), Te at (0.0000, 0.5000, 0.2500) and Se at (0.0000, 0.0000, 0.5000).


NaPSeN2: single point on PBEsol structure, meta-GGA SCAN.

As for the size of the total moment: 4.5 μB/f.u. The calculation puts the formation energy (no corrections) at 2.00 eV per atom. The calculation puts the mass density at 2.84 g/cm³.

The space group is P4/mmm (No. 123) and the conventional cell measures 4.1811, 4.1811 and 5.3805 Å, with angles of 90.00, 90.00 and 90.00 degrees. The inequivalent atoms are Na at (0.0000, 0.0000, 0.0000), P at (0.5000, 0.5000, 0.5000), Se at (0.0000, 0.0000, 0.5000) and N at (0.0000, 0.5000, 0.0000).


ReSn3Pt: single point on PBEsol structure, meta-GGA SCAN.

As for the size of the total moment: 3.1 μB/f.u. The energy of formation from the pure elements is 6.2 eV per formula unit. The calculation puts the mass density at 9.41 g/cm³.

The space group is Pm-3m (No. 221) and the conventional cell measures 5.0676, 5.0676 and 5.0676 Å, with angles of 90.00, 90.00 and 90.00 degrees. The inequivalent atoms are Re at (0.0000, 0.0000, 0.0000), Sn at (0.0000, 0.5000, 0.5000) and Pt at (0.5000, 0.5000, 0.5000).